The following is a PBEsol calculation of a relaxed structure of LiTe2Rh, from Alexandria.

Computed properties:
E_form (uncorrected) (eV/atom): -0.421
DFT total energy (eV per atom): -4.711
Space-group type: R-3m, No. 166

Unit cell a=8.2606 b=8.2606 c=8.2606 alpha=27.87 beta=27.87 gamma=27.87
With the nearest neighbours (Å) after each atom.
Fractional positions:
Li1 0.0000 0.0000 0.0000  2 Te 2.66
Te1 0.1116 0.1116 0.1116  3 Rh 2.64, 1 Li 2.66
Te2 0.8884 0.8884 0.8884  3 Rh 2.64, 1 Li 2.66
Rh1 0.5000 0.5000 0.5000  6 Te 2.64

=====

The following is a PBEsol calculation of a relaxed structure of Li2TiRh, from Alexandria.

Computed properties:
DFT total energy (eV per atom): -5.123
Space-group type: I-42d, No. 122
Energy relative to the elements (eV/atom): -0.025

Unit cell a=10.2071 b=10.2071 c=10.2071 alpha=160.31 beta=160.31 gamma=27.99
With the nearest neighbours (Å) after each atom.
Fractional positions:
Li1 0.1025 0.6250 0.9775  4 Li 2.36-2.58
Li2 0.3750 0.3525 0.4775  4 Li 2.36-2.58
Li3 0.6475 0.1250 0.0225  4 Li 2.36-2.58
Li4 0.8750 0.8975 0.5225  4 Li 2.36-2.58
Ti1 0.2500 0.7500 0.5000  4 Rh 2.47
Ti2 0.5000 0.5000 0.0000  4 Rh 2.47
Rh1 0.0000 0.0000 0.0000  4 Ti 2.47, 4 Li 2.74
Rh2 0.7500 0.2500 0.5000  4 Ti 2.47, 4 Li 2.74

=====

The following is a PBEsol calculation of a relaxed structure of LiTiRh2, from Alexandria.

Computed properties:
DFT total energy (eV per atom): -7.241
Space-group type: Fm-3m, No. 225
Energy relative to the elements (eV/atom): -0.600

Unit cell a=4.2002 b=4.2002 c=4.2002 alpha=60.00 beta=60.00 gamma=60.00
With the nearest neighbours (Å) after each atom.
Fractional positions:
Li1 0.0000 0.0000 0.0000  8 Rh 2.57
Ti1 0.5000 0.5000 0.5000  8 Rh 2.57
Rh1 0.2500 0.2500 0.2500  4 Li 2.57, 4 Ti 2.57
Rh2 0.7500 0.7500 0.7500  4 Li 2.57, 4 Ti 2.57

=====

The following is a PBEsol calculation of a relaxed structure of Li3TlRh, from Alexandria.

Computed properties:
DFT total energy (eV per atom): -3.072
Space-group type: Pm-3m, No. 221
Energy relative to the elements (eV/atom): 0.262

Unit cell a=4.5863 b=4.5863 c=4.5863 alpha=90.00 beta=90.00 gamma=90.00
With the nearest neighbours (Å) after each atom.
Fractional positions:
Li1 0.0000 0.0000 0.5000  2 Rh 2.29
Li2 0.0000 0.5000 0.0000  2 Rh 2.29
Li3 0.5000 0.0000 0.0000  2 Rh 2.29
Tl1 0.5000 0.5000 0.5000  12 Li 3.24
Rh1 0.0000 0.0000 0.0000  6 Li 2.29

=====

Question: Among the records above, which one has the highest DFT total energy?
Answer: Li3TlRh